# 1
DFT (GGA-PBE) results for a relaxed structure of CsCaV.

## Properties
E_form (meV per atom): 624.6
Energy above the lowest structure with this stoichiometry (meV/atom): 123
SG: No. 1
Crystal system: triclinic

a b c (Å): 14.374 5.092 4.365
angles (deg): 74.77 96.59 82.35
Positions (direct):
Ca 0.330 0.834 0.935
Ca 0.467 0.267 0.511
V 0.246 0.286 0.233
V 0.246 0.465 0.548
Cs 0.042 0.977 0.785
Cs 0.715 0.646 0.145

---

# 2
DFT (GGA-PBE) results for a relaxed structure of CsCaV.

## Properties
E_form (meV per atom): 680.3
Energy above the lowest structure with this stoichiometry (meV/atom): 179
SG: No. 8
Crystal system: monoclinic

a b c (Å): 9.353 6.036 6.037
angles (deg): 90.01 108.82 108.84
Positions (direct):
Cs 0.446 0.497 0.249
Cs 0.672 0.110 0.862
V 0.169 0.861 0.615
V 0.949 0.751 0.505
Ca 0.059 0.805 0.060
Ca 0.059 0.306 0.558

---

# 3
DFT (GGA-PBE) results for a relaxed structure of CsCaV.

## Properties
E_form (meV per atom): 1130.3
Energy above the lowest structure with this stoichiometry (meV/atom): 629
SG: No. 187
Crystal system: hexagonal

a b c (Å): 6.120 6.120 3.639
angles (deg): 90.00 90.00 120.00
Positions (direct):
Cs 0.667 0.333 0.500
Ca 0.000 0.000 0.000
V 0.333 0.667 0.000

---

# 4
DFT (GGA-PBE) results for a relaxed structure of CsCaV.

## Properties
E_form (meV per atom): 1215.1
Energy above the lowest structure with this stoichiometry (meV/atom): 713
SG: No. 216
Crystal system: cubic

a b c (Å): 5.873 5.873 5.873
angles (deg): 60.00 60.00 60.00
Positions (direct):
Ca 0.750 0.750 0.750
V 0.500 0.500 0.500
Cs 0.250 0.250 0.250

---

# 5
DFT (GGA-PBE) results for a relaxed structure of CsCaV3.

## Properties
E_form (meV per atom): 2207.3
SG: No. 221
Crystal system: cubic

a b c (Å): 4.874 4.874 4.874
angles (deg): 90.00 90.00 90.00
Positions (direct):
Ca 0.500 0.500 0.500
Cs 0.000 0.000 0.000
V 0.000 0.500 0.000
V 0.500 0.000 0.000
V 0.000 0.000 0.500

---

# 6
DFT (GGA-PBE) results for a relaxed structure of CsCaV.

## Properties
E_form (meV per atom): 929.6
Energy above the lowest structure with this stoichiometry (meV/atom): 428
SG: No. 187
Crystal system: hexagonal

a b c (Å): 5.964 5.964 9.176
angles (deg): 90.00 90.00 120.00
Positions (direct):
Cs 0.667 0.333 0.500
Cs 0.667 0.333 0.000
V 0.000 0.000 0.401
V 0.000 0.000 0.599
Ca 0.333 0.667 0.309
Ca 0.333 0.667 0.691

---

# 7
DFT (GGA-PBE) results for a relaxed structure of CsCaV.

## Properties
E_form (meV per atom): 1002.3
Energy above the lowest structure with this stoichiometry (meV/atom): 501
SG: No. 62
Crystal system: orthorhombic

a b c (Å): 10.499 3.780 12.452
angles (deg): 90.00 90.00 90.00
Positions (direct):
Cs 0.029 0.750 0.146
Cs 0.471 0.250 0.646
Cs 0.971 0.250 0.854
Cs 0.529 0.750 0.354
V 0.804 0.750 0.625
V 0.696 0.250 0.125
V 0.196 0.250 0.375
V 0.304 0.750 0.875
Ca 0.118 0.750 0.579
Ca 0.618 0.750 0.921
Ca 0.882 0.250 0.421
Ca 0.382 0.250 0.079

---

# 8
DFT (GGA-PBE) results for a relaxed structure of CsCaV.

## Properties
E_form (meV per atom): 751.7
Energy above the lowest structure with this stoichiometry (meV/atom): 250
SG: No. 12
Crystal system: monoclinic

a b c (Å): 6.262 6.262 7.962
angles (deg): 68.12 68.12 71.92
Positions (direct):
Cs 0.300 0.801 0.041
Cs 0.700 0.199 0.959
V 0.624 0.876 0.500
V 0.376 0.124 0.500
Ca 0.834 0.334 0.413
Ca 0.166 0.666 0.587

---

# 9
DFT (GGA-PBE) results for a relaxed structure of CsCaV.

## Properties
E_form (meV per atom): 501.6
Energy above the lowest structure with this stoichiometry (meV/atom): 0
SG: No. 8
Crystal system: monoclinic

a b c (Å): 18.913 4.423 4.423
angles (deg): 110.84 117.70 62.30
Positions (direct):
V 0.659 0.887 0.113
V 0.659 0.633 0.367
Cs 0.010 0.233 0.767
Cs 0.308 0.262 0.738
Ca 0.775 0.090 0.910
Ca 0.543 0.430 0.570

---

# 10
DFT (GGA-PBE) results for a relaxed structure of CsCaV.

## Properties
E_form (meV per atom): 1075.0
Energy above the lowest structure with this stoichiometry (meV/atom): 573
SG: No. 194
Crystal system: hexagonal

a b c (Å): 6.181 6.181 7.197
angles (deg): 90.00 90.00 120.00
Positions (direct):
Cs 0.000 0.000 0.500
Cs 0.000 0.000 0.000
V 0.333 0.667 0.250
V 0.667 0.333 0.750
Ca 0.667 0.333 0.250
Ca 0.333 0.667 0.750

---

# 11
DFT (GGA-PBE) results for a relaxed structure of CsCaV.

## Properties
E_form (meV per atom): 625.4
Energy above the lowest structure with this stoichiometry (meV/atom): 124
SG: No. 166
Crystal system: trigonal

a b c (Å): 13.809 5.594 5.594
angles (deg): 120.01 113.90 66.10
Positions (direct):
Cs 0.813 0.958 0.042
Cs 0.187 0.042 0.958
Ca 0.452 0.199 0.801
Ca 0.548 0.801 0.199
V 0.575 0.450 0.550
V 0.425 0.550 0.450

---

# 12
DFT (GGA-PBE) results for a relaxed structure of CsCa2Y2.

## Properties
E_form (meV per atom): 708.6
SG: No. 139
Crystal system: tetragonal

a b c (Å): 5.086 5.086 9.734
angles (deg): 74.86 74.86 90.00
Positions (direct):
Cs 0.000 0.000 0.000
Ca 0.250 0.750 0.500
Ca 0.750 0.250 0.500
Y 0.599 0.599 0.801
Y 0.401 0.401 0.199